# Sm4Ho3Pt4 (PBE, optimized geometry)
data_Sm4Ho3Pt4
_cell_length_a 3.8227
_cell_length_b 8.8839
_cell_length_c 16.5540
_cell_angle_alpha 90.00
_cell_angle_beta 90.00
_cell_angle_gamma 90.00
_space_group_name_H-M_alt 'I m m m'
_space_group_IT_number 71
_space_group_name_Hall '-I 2 2'
loop_
_atom_site_label
_atom_site_type_symbol
_atom_site_fract_x
_atom_site_fract_y
_atom_site_fract_z
Sm1 Sm 0.0000 0.1863 0.1645
Ho1 Ho 0.0000 0.0000 0.4022
Ho2 Ho 0.0000 0.5000 0.5000
Pt1 Pt 0.0000 0.3020 0.0000
Pt2 Pt 0.0000 0.5000 0.2400
# calculated volume = 562.2 Å³ per cell
# calculated total energy = -132.0 eV for the cell shown
# calculated formation energy = -840.7 meV per atom

---

# Sm2HoPt3 (PBE, optimized geometry)
data_Sm2HoPt3
_cell_length_a 4.1320
_cell_length_b 5.8168
_cell_length_c 12.3188
_cell_angle_alpha 90.00
_cell_angle_beta 90.00
_cell_angle_gamma 90.00
_space_group_name_H-M_alt 'I m m m'
_space_group_IT_number 71
_space_group_name_Hall '-I 2 2'
loop_
_atom_site_label
_atom_site_type_symbol
_atom_site_fract_x
_atom_site_fract_y
_atom_site_fract_z
Sm1 Sm 0.0000 0.0000 0.1679
Ho1 Ho 0.0000 0.0000 0.5000
Pt1 Pt 0.0000 0.5000 0.1615
Pt2 Pt 0.0000 0.5000 0.5000
# calculated volume = 296.1 Å³ per cell
# calculated total energy = -77.4 eV for the cell shown
# calculated formation energy = -1094.4 meV per atom

---

# SmHo2Pt2 (PBE, optimized geometry)
data_SmHo2Pt2
_cell_length_a 3.7916
_cell_length_b 27.6639
_cell_length_c 4.6748
_cell_angle_alpha 90.00
_cell_angle_beta 90.00
_cell_angle_gamma 90.00
_space_group_name_H-M_alt 'C m c m'
_space_group_IT_number 63
_space_group_name_Hall '-C 2c 2'
loop_
_atom_site_label
_atom_site_type_symbol
_atom_site_fract_x
_atom_site_fract_y
_atom_site_fract_z
Sm1 Sm 0.0000 0.1363 0.2500
Ho1 Ho 0.0000 0.2317 0.7500
Ho2 Ho 0.0000 0.4496 0.2500
Pt1 Pt 0.0000 0.0322 0.2500
Pt2 Pt 0.0000 0.3430 0.2500
# calculated volume = 490.3 Å³ per cell
# energy above the lowest structure with this stoichiometry = 0.042 eV per atom
# calculated total energy = -123.7 eV for the cell shown
# calculated formation energy = -991.7 meV per atom

---

# Sm2HoSn3Pt4 (PBE, optimized geometry)
data_Sm2HoSn3Pt4
_cell_length_a 4.5592
_cell_length_b 4.5592
_cell_length_c 11.2133
_cell_angle_alpha 90.00
_cell_angle_beta 90.00
_cell_angle_gamma 90.00
_space_group_name_H-M_alt 'P -4 m 2'
_space_group_IT_number 115
loop_
_space_group_symop_operation_xyz
'x,y,z'
'y,-x,-z'
'-x,-y,z'
'-y,x,-z'
'-x,y,z'
'-y,-x,-z'
'x,-y,z'
'y,x,-z'
loop_
_atom_site_label
_atom_site_type_symbol
_atom_site_fract_x
_atom_site_fract_y
_atom_site_fract_z
Sm1 Sm 0.0000 0.5000 0.2155
Ho1 Ho 0.0000 0.0000 0.5000
Sn1 Sn 0.0000 0.5000 0.8733
Sn2 Sn 0.5000 0.5000 0.5000
Pt1 Pt 0.0000 0.0000 0.0000
Pt2 Pt 0.0000 0.5000 0.6424
Pt3 Pt 0.5000 0.5000 0.0000
# calculated volume = 233.1 Å³ per cell
# calculated total energy = -59.1 eV for the cell shown
# calculated formation energy = -893.1 meV per atom